# 1
The following is a DFT calculation (PBE) of a geometry-optimized Th4Rh2SeS structure.

a = 4.0837 Å, b = 7.5902 Å, c = 7.0553 Å
α = 72.04°, β = 90.00°, γ = 90.00°
Last column: nearest neighbours and their distance in Å.
Sites, in units of the cell vectors:
Th  0.0000  0.2267  0.2607  3 Rh 2.86-2.88, 1 S 3.05, 2 Se 3.08
Th  0.5000  0.2298  0.7521  3 Rh 2.85-2.90, 2 S 3.05, 1 Se 3.08
Th  0.0000  0.7733  0.7393  3 Rh 2.86-2.88, 1 S 3.05, 2 Se 3.08
Th  0.5000  0.7702  0.2479  3 Rh 2.85-2.90, 2 S 3.05, 1 Se 3.08
Rh  0.0000  0.0000  0.0000  6 Th 2.88-2.90
Rh  0.5000  0.0000  0.5000  6 Th 2.85-2.86
Se  0.5000  0.5000  0.0000  6 Th 3.08
S  0.0000  0.5000  0.5000  6 Th 3.05

Values from the calculation:
For the formation energy from raw total energies, the calculation gives -1238.7 meV per atom. As for the total energy: -61.9 eV per formula unit. As for the total magnetization: 0.00 μB/cell.

***

# 2
The following is a DFT calculation (PBE) of a geometry-optimized CaRhAuCl2 structure.

a = 5.0152 Å, b = 5.1567 Å, c = 5.0152 Å
α = 90.00°, β = 90.00°, γ = 90.00°
Last column: nearest neighbours and their distance in Å.
Sites, in units of the cell vectors:
Cl  0.0000  0.0000  0.5000  2 Au 2.51
Cl  0.5000  0.0000  0.0000  2 Au 2.51
Rh  0.0000  0.5000  0.0000  2 Au 2.58
Au  0.0000  0.0000  0.0000  4 Cl 2.51, 2 Rh 2.58
Ca  0.5000  0.5000  0.5000  4 Rh 3.55, 8 Cl 3.60

Values from the calculation:
For the formation energy from raw total energies, the calculation gives 13.3 meV per atom. As for the total energy: -16.3 eV per formula unit. As for the total magnetization: 0.96 μB/cell.

***

# 3
The following is a DFT calculation (PBE) of a geometry-optimized Pm3GaI structure.

a = 4.2501 Å, b = 9.1652 Å, c = 8.3608 Å
α = 90.00°, β = 90.00°, γ = 90.00°
Last column: nearest neighbours and their distance in Å.
Sites, in units of the cell vectors:
Pm  0.7500  0.9387  0.8363  3 Ga 3.11-3.12, 1 Pm 3.46
Pm  0.7500  0.7500  0.2533  2 Ga 2.93
Pm  0.2500  0.2500  0.7467  2 Ga 2.93
Pm  0.2500  0.4387  0.1637  3 Ga 3.11-3.12, 1 Pm 3.46
Pm  0.7500  0.5613  0.8363  3 Ga 3.11-3.12, 1 Pm 3.46
Pm  0.2500  0.0613  0.1637  3 Ga 3.11-3.12, 1 Pm 3.46
I  0.7500  0.2500  0.4355  6 Pm 3.36-3.56, 1 Ga 3.75
I  0.2500  0.7500  0.5645  6 Pm 3.36-3.56, 1 Ga 3.75
Ga  0.2500  0.7500  0.0126  8 Pm 2.93-3.12
Ga  0.7500  0.2500  0.9874  8 Pm 2.93-3.12

Values from the calculation:
For the formation energy from raw total energies, the calculation gives -463.8 meV per atom. As for the total energy: -21.1 eV per formula unit. As for the total magnetization: 0.00 μB/cell.